1.
VASP calculation (PBE) on a relaxed RbPr2I8 crystal.

a = 9.2925 Å, b = 9.2925 Å, c = 6.2984 Å
α = 90.06°, β = 90.06°, γ = 115.15°
With the nearest neighbours (Å) after each atom.
Atoms (fractional coordinates):
Rb: 0.0000 0.0000 0.0000  10 I 4.07-4.23
Pr: 0.3050 0.6950 0.5000  8 I 3.23-3.44
Pr: 0.6950 0.3050 0.5000  8 I 3.23-3.44
I: 0.0563 0.3240 0.5008  2 Pr 3.23-3.29
I: 0.2592 0.7408 0.0000  2 Pr 3.23
I: 0.3240 0.0563 0.5008  2 Pr 3.23-3.29
I: 0.4994 0.4994 0.2486  2 I 3.13-3.17, 2 Pr 3.44
I: 0.5006 0.5006 0.7514  2 I 3.13-3.17, 2 Pr 3.44
I: 0.6760 0.9437 0.4992  2 Pr 3.23-3.29
I: 0.7408 0.2592 0.0000  2 Pr 3.23
I: 0.9437 0.6760 0.4992  2 Pr 3.23-3.29

Results
- VASP energy (eV per atom) = -3.353
- total moment (μB/f.u.) = 0.000
- Fermi-level density of states (states/eV/cell) = 1.9
- energy relative to the elements, uncorrected (eV/atom) = -1.27
- polymorph energy (0 for the lowest one) (eV per atom) = 0.0000



2.
VASP calculation (PBE) on a relaxed RbPrI3 crystal.

a = 8.8079 Å, b = 8.8079 Å, c = 7.0663 Å
α = 90.00°, β = 90.00°, γ = 120.00°
With the nearest neighbours (Å) after each atom.
Atoms (fractional coordinates):
Rb: 0.3333 0.6667 0.2500  12 I 4.26-4.41
Rb: 0.6667 0.3333 0.7500  12 I 4.26-4.41
Pr: 0.0000 0.0000 0.0000  6 I 3.22, 2 Pr 3.53
Pr: 0.0000 0.0000 0.5000  6 I 3.22, 2 Pr 3.53
I: 0.1768 0.3537 0.7500  2 Pr 3.22
I: 0.1768 0.8232 0.7500  2 Pr 3.22
I: 0.3537 0.1768 0.2500  2 Pr 3.22
I: 0.6463 0.8232 0.7500  2 Pr 3.22
I: 0.8232 0.1768 0.2500  2 Pr 3.22
I: 0.8232 0.6463 0.2500  2 Pr 3.22

Results
- VASP energy (eV per atom) = -3.420
- total moment (μB/f.u.) = 0.268
- Fermi-level density of states (states/eV/cell) = 4.5
- energy relative to the elements, uncorrected (eV/atom) = -1.34
- polymorph energy (0 for the lowest one) (eV per atom) = 0.0000



3.
VASP calculation (PBE) on a relaxed RbPrI4 crystal.

a = 10.7824 Å, b = 10.7824 Å, c = 8.1690 Å
α = 99.93°, β = 99.93°, γ = 118.56°
With the nearest neighbours (Å) after each atom.
Atoms (fractional coordinates):
Rb: 0.2302 0.7698 0.7500  6 I 3.70-3.88
Rb: 0.7698 0.2302 0.2500  6 I 3.70-3.88
Pr: 0.0673 0.9327 0.2500  6 I 3.08-3.23
Pr: 0.9327 0.0673 0.7500  6 I 3.08-3.23
I: 0.0065 0.3699 0.7044  1 Pr 3.08
I: 0.1079 0.2256 0.1532  2 Pr 3.19-3.23
I: 0.2256 0.1079 0.6532  2 Pr 3.19-3.23
I: 0.3699 0.0065 0.2044  1 Pr 3.08
I: 0.6301 0.9935 0.7956  1 Pr 3.08
I: 0.7744 0.8921 0.3468  2 Pr 3.19-3.23
I: 0.8921 0.7744 0.8468  2 Pr 3.19-3.23
I: 0.9935 0.6301 0.2956  1 Pr 3.08

Results
- VASP energy (eV per atom) = -3.435
- total moment (μB/f.u.) = 0.000
- Fermi-level density of states (states/eV/cell) = 0.0
- energy relative to the elements, uncorrected (eV/atom) = -1.44
- polymorph energy (0 for the lowest one) (eV per atom) = 0.0000



4.
VASP calculation (PBE) on a relaxed Rb3PrI6 crystal.

a = 8.7906 Å, b = 9.4542 Å, c = 15.0638 Å
α = 90.00°, β = 123.66°, γ = 90.00°
With the nearest neighbours (Å) after each atom.
Atoms (fractional coordinates):
Rb: 0.0000 0.0000 0.0000  6 I 3.63-3.74
Rb: 0.0000 0.5000 0.5000  6 I 3.63-3.74
Rb: 0.2056 0.0839 0.7405  6 I 3.72-4.01
Rb: 0.2056 0.4161 0.2405  6 I 3.72-4.01
Rb: 0.7944 0.5839 0.7595  6 I 3.72-4.01
Rb: 0.7944 0.9161 0.2595  6 I 3.72-4.01
Pr: 0.5000 0.0000 0.5000  6 I 3.15-3.17
Pr: 0.5000 0.5000 0.0000  6 I 3.15-3.17
I: 0.1530 0.1777 0.4422  1 Pr 3.15
I: 0.1530 0.3223 0.9422  1 Pr 3.15
I: 0.2572 0.7217 0.4203  1 Pr 3.17
I: 0.2572 0.7783 0.9203  1 Pr 3.17
I: 0.4092 0.0587 0.2691  1 Pr 3.16
I: 0.4092 0.4413 0.7691  1 Pr 3.16
I: 0.5908 0.5587 0.2309  1 Pr 3.16
I: 0.5908 0.9413 0.7309  1 Pr 3.16
I: 0.7428 0.2217 0.0797  1 Pr 3.17
I: 0.7428 0.2783 0.5797  1 Pr 3.17
I: 0.8470 0.6777 0.0578  1 Pr 3.15
I: 0.8470 0.8223 0.5578  1 Pr 3.15

Results
- VASP energy (eV per atom) = -3.179
- total moment (μB/f.u.) = 0.000
- Fermi-level density of states (states/eV/cell) = 0.0
- energy relative to the elements, uncorrected (eV/atom) = -1.48



5.
VASP calculation (PBE) on a relaxed RbPr2I8 crystal.

a = 8.0290 Å, b = 8.0290 Å, c = 9.4379 Å
α = 99.17°, β = 99.17°, γ = 76.02°
With the nearest neighbours (Å) after each atom.
Atoms (fractional coordinates):
Rb: 0.0000 0.0000 0.0000  6 I 3.68-3.90
Pr: 0.3189 0.3189 0.5446  7 I 3.07-3.28
Pr: 0.6811 0.6811 0.4554  7 I 3.07-3.28
I: 0.0577 0.6884 0.6411  2 Pr 3.25-3.28
I: 0.2375 0.2375 0.8301  1 Pr 3.07
I: 0.3116 0.9423 0.3589  2 Pr 3.25-3.28
I: 0.4340 0.4340 0.2759  2 Pr 3.17-3.24
I: 0.5660 0.5660 0.7241  2 Pr 3.17-3.24
I: 0.6884 0.0577 0.6411  2 Pr 3.25-3.28
I: 0.7625 0.7625 0.1699  1 Pr 3.07
I: 0.9423 0.3116 0.3589  2 Pr 3.25-3.28

Results
- VASP energy (eV per atom) = -3.313
- total moment (μB/f.u.) = 0.000
- Fermi-level density of states (states/eV/cell) = 14.8
- energy relative to the elements, uncorrected (eV/atom) = -1.23
- polymorph energy (0 for the lowest one) (eV per atom) = 0.0404



6.
VASP calculation (PBE) on a relaxed RbPrI4 crystal.

a = 9.4784 Å, b = 9.4784 Å, c = 7.7887 Å
α = 106.92°, β = 106.92°, γ = 110.66°
With the nearest neighbours (Å) after each atom.
Atoms (fractional coordinates):
Rb: 0.1352 0.8648 0.7500  8 I 3.76-3.91
Rb: 0.8648 0.1352 0.2500  8 I 3.76-3.91
Pr: 0.4995 0.5005 0.2500  8 I 3.31-3.32
Pr: 0.5005 0.4995 0.7500  8 I 3.31-3.32
I: 0.1665 0.2943 0.8085  2 Pr 3.32
I: 0.2345 0.5539 0.4263  2 Pr 3.31
I: 0.2943 0.1665 0.3085  2 Pr 3.32
I: 0.4461 0.7655 0.0737  2 Pr 3.31
I: 0.5539 0.2345 0.9263  2 Pr 3.31
I: 0.7057 0.8335 0.6915  2 Pr 3.32
I: 0.7655 0.4461 0.5737  2 Pr 3.31
I: 0.8335 0.7057 0.1915  2 Pr 3.32

Results
- VASP energy (eV per atom) = -3.403
- total moment (μB/f.u.) = 0.000
- energy relative to the elements, uncorrected (eV/atom) = -1.41
- polymorph energy (0 for the lowest one) (eV per atom) = 0.0324



7.
VASP calculation (PBE) on a relaxed RbPrI3 crystal.

a = 6.2835 Å, b = 6.2835 Å, c = 6.2835 Å
α = 90.00°, β = 90.00°, γ = 90.00°
With the nearest neighbours (Å) after each atom.
Atoms (fractional coordinates):
Rb: 0.0000 0.0000 0.0000  12 I 4.44
Pr: 0.5000 0.5000 0.5000  6 I 3.14
I: 0.0000 0.5000 0.5000  2 Pr 3.14
I: 0.5000 0.0000 0.5000  2 Pr 3.14
I: 0.5000 0.5000 0.0000  2 Pr 3.14

Results
- VASP energy (eV per atom) = -3.327
- total moment (μB/f.u.) = 0.002
- Fermi-level density of states (states/eV/cell) = 3.6
- energy relative to the elements, uncorrected (eV/atom) = -1.25
- polymorph energy (0 for the lowest one) (eV per atom) = 0.0933



8.
VASP calculation (PBE) on a relaxed RbPrSI crystal.

a = 8.9957 Å, b = 8.9957 Å, c = 8.9957 Å
α = 27.58°, β = 27.58°, γ = 27.58°
With the nearest neighbours (Å) after each atom.
Atoms (fractional coordinates):
Rb: 0.0000 0.0000 0.0000  3 S 3.23
Pr: 0.1964 0.1964 0.1964  3 S 2.88
S: 0.5866 0.5866 0.5866  3 Pr 2.88
I: 0.7780 0.7780 0.7780  3 Pr 3.32

Results
- VASP energy (eV per atom) = -4.282
- total moment (μB/f.u.) = 0.000
- Fermi-level density of states (states/eV/cell) = 2.7
- energy relative to the elements, uncorrected (eV/atom) = -1.43



9.
VASP calculation (PBE) on a relaxed RbPrSeI crystal.

a = 4.3873 Å, b = 4.3873 Å, c = 9.1179 Å
α = 103.88°, β = 103.88°, γ = 60.09°
With the nearest neighbours (Å) after each atom.
Atoms (fractional coordinates):
Rb: 0.0000 0.0000 0.0000  3 Se 3.33
Pr: 0.8099 0.8099 0.4284  3 Se 2.99-3.00, 3 I 3.33
Se: 0.4153 0.4153 0.2465  3 Pr 2.99-3.00, 3 Rb 3.33
I: 0.2254 0.2254 0.6749  3 Pr 3.33

Results
- VASP energy (eV per atom) = -4.083
- total moment (μB/f.u.) = 0.000
- Fermi-level density of states (states/eV/cell) = 2.5
- energy relative to the elements, uncorrected (eV/atom) = -1.39



10.
VASP calculation (PBE) on a relaxed RbPrTl2I6 crystal.

a = 9.2598 Å, b = 9.2598 Å, c = 9.2598 Å
α = 56.62°, β = 56.62°, γ = 56.62°
With the nearest neighbours (Å) after each atom.
Atoms (fractional coordinates):
Rb: 0.0000 0.0000 0.0000  6 I 3.65-3.80
Pr: 0.4884 0.4884 0.4884  6 I 3.15-3.18
Tl: 0.2931 0.2931 0.2931  6 I 3.54-3.59
Tl: 0.8048 0.8048 0.8048  6 I 3.48-3.58
I: 0.1132 0.6753 0.4178  1 Pr 3.18, 2 Tl 3.48-3.54
I: 0.2462 0.5892 0.8488  1 Pr 3.15
I: 0.4178 0.1132 0.6753  1 Pr 3.18, 2 Tl 3.48-3.54
I: 0.5892 0.8488 0.2462  1 Pr 3.15
I: 0.6753 0.4178 0.1132  1 Pr 3.18, 2 Tl 3.48-3.54
I: 0.8488 0.2462 0.5892  1 Pr 3.15

Results
- VASP energy (eV per atom) = -3.113
- total moment (μB/f.u.) = 0.000
- Fermi-level density of states (states/eV/cell) = 0.0
- energy relative to the elements, uncorrected (eV/atom) = -1.14